[1]
First-principles (GGA-PBEsol) data for a geometry-optimized RbZn2InMo structure, as listed in Alexandria via LeMat-Bulk.

a b c (Å): 5.033 5.033 5.258
angles (deg): 90.00 90.00 90.00
Space group P4/mmm (No. 123)
One atom of each set of equivalent atoms:
Rb (0.000, 0.000, 0.000) x1
Zn (0.000, 0.500, 0.500) x2
In (0.500, 0.500, 0.000) x1
Mo (0.500, 0.500, 0.500) x1

Results
The electronic total energy is -3.188 eV/atom. Its formation energy is 0.600 eV/atom.

***

[2]
First-principles (GGA-PBEsol) data for a geometry-optimized RePCl6O3 structure, as listed in Alexandria via LeMat-Bulk.

a b c (Å): 6.405 12.454 13.720
angles (deg): 90.00 99.58 90.00
Space group P2_1/c (No. 14)
One atom of each set of equivalent atoms:
Re (0.122, 0.212, 0.002) x4
P (0.400, 0.097, 0.677) x4
Cl (0.050, 0.185, 0.164) x4
Cl (0.148, 0.664, 0.008) x4
Cl (0.182, 0.038, 0.749) x4
Cl (0.415, 0.025, 0.342) x4
Cl (0.425, 0.695, 0.729) x4
Cl (0.429, 0.121, 0.056) x4
O (0.024, 0.607, 0.552) x4
O (0.218, 0.230, 0.404) x4
O (0.314, 0.148, 0.581) x4

Results
The electronic total energy is -5.258 eV/atom. As for the formation energy from raw total energies: -0.992 eV/atom.

***

[3]
First-principles (GGA-PBEsol) data for a geometry-optimized Co2PPt structure, as listed in Alexandria via LeMat-Bulk.

a b c (Å): 2.7071 2.7071 23.0144
angles (deg): 90.00 90.00 120.00
Space group R3m (No. 160, hexagonal axes)
One atom of each set of equivalent atoms:
Co (0.0000, 0.0000, 0.0000) x3
Co (0.0000, 0.0000, 0.2497) x3
P (0.0000, 0.0000, 0.5147) x3
Pt (0.0000, 0.0000, 0.7589) x3

Results
The electronic total energy is -7.062 eV/atom. Its formation energy is -0.005 eV/atom.